SrNbAgP2 | meta-GGA SCAN | PBEsol geometry

Results
The value obtained for the formation energy is 0.4053 eV/atom. Its space group is P4/mmm (123). As for the density of states at the Fermi level: 3.6 states/eV/cell. The calculation puts the raw total energy at -21.11 eV per atom.

Cell: 4.7502 4.7502 5.8302 Å, 90.00 90.00 90.00°
Sites, in units of the cell vectors:
Ag 0.5000 0.5000 0.5000
P 0.5000 0.0000 0.0000
Sr 0.0000 0.0000 0.5000
Nb 0.0000 0.0000 0.0000
P 0.0000 0.5000 0.0000